Entry 1:
Here is a geometry-optimized SmTm12Th7 structure from Alexandria. Energies are from PBE.

Summary:
The total magnetization comes out at 0.001 μB/cell. The density of states at the Fermi level is 34.38 states/eV/cell. As for the total energy: -104.9 eV per cell. Its crystal system is trigonal. Its space group is R-3, No. 148.

Lattice parameters (Å, degrees): 8.654 8.654 8.654 86.52 86.52 86.52
Sites, in units of the cell vectors:
Sm 0.000 0.000 0.000
Tm 0.857 0.261 0.723
Tm 0.739 0.277 0.143
Tm 0.623 0.133 0.497
Tm 0.867 0.503 0.377
Tm 0.277 0.143 0.739
Tm 0.503 0.377 0.867
Tm 0.497 0.623 0.133
Tm 0.723 0.857 0.261
Tm 0.133 0.497 0.623
Tm 0.377 0.867 0.503
Tm 0.261 0.723 0.857
Tm 0.143 0.739 0.277
Th 0.844 0.606 0.922
Th 0.394 0.078 0.156
Th 0.078 0.156 0.394
Th 0.500 0.500 0.500
Th 0.922 0.844 0.606
Th 0.606 0.922 0.844
Th 0.156 0.394 0.078


Entry 2:
Here is a geometry-optimized SmTm4Th4 structure from Alexandria. Energies are from PBE.

Summary:
The total magnetization comes out at 0.000 μB/cell. The density of states at the Fermi level is 14.09 states/eV/cell. As for the total energy: -51.9 eV per cell. Its crystal system is tetragonal. Its space group is I4/mmm, No. 139.

Lattice parameters (Å, degrees): 5.021 7.929 7.929 84.25 71.54 71.54
Sites, in units of the cell vectors:
Sm 0.000 0.000 0.000
Tm 0.668 0.333 0.332
Tm 0.332 0.667 0.668
Tm 0.000 0.668 0.333
Tm 0.000 0.332 0.667
Th 0.668 0.665 0.000
Th 0.332 0.335 0.000
Th 0.668 0.000 0.665
Th 0.332 0.000 0.335


Entry 3:
Here is a geometry-optimized SmTmTh2 structure from Alexandria. Energies are from PBE.

Summary:
The total magnetization comes out at 0.000 μB/cell. The density of states at the Fermi level is 5.83 states/eV/cell. As for the total energy: -23.9 eV per cell. Its crystal system is trigonal. The value obtained for the offset from the most stable computed form is 0.014 eV/atom. Its space group is R3m, No. 160.

Lattice parameters (Å, degrees): 3.564 3.564 11.828 81.34 81.34 60.00
Sites, in units of the cell vectors:
Sm 0.498 0.498 0.505
Tm 0.668 0.668 0.996
Th 0.082 0.082 0.753
Th 0.251 0.251 0.246


Entry 4:
Here is a geometry-optimized Sm2Tm7Th structure from Alexandria. Energies are from PBE.

Summary:
The total magnetization comes out at 0.000 μB/cell. The density of states at the Fermi level is 14.99 states/eV/cell. As for the total energy: -41.0 eV per cell. Its crystal system is orthorhombic. Its space group is Cmmm, No. 65.

Lattice parameters (Å, degrees): 4.989 9.812 9.812 128.61 90.00 90.00
Sites, in units of the cell vectors:
Sm 0.500 0.701 0.299
Sm 0.500 0.299 0.701
Tm 0.000 0.809 0.191
Tm 0.000 0.191 0.809
Tm 0.500 0.076 0.284
Tm 0.500 0.924 0.716
Tm 0.500 0.284 0.076
Tm 0.500 0.716 0.924
Tm 0.500 0.500 0.500
Th 0.000 0.000 0.000


Per-record ΔE_f, eV per atom: 0.270 0.047 0.045 0.715